Entry from Alexandria via LeMat-Bulk: a relaxed NaCaIn2Br6 crystal (PBE-GGA).

Cell: 7.644 7.643 8.154 Å, 89.97 117.96 120.08°
Element x y z (fractional)
Br1 0.470 0.081 0.186
Br2 0.820 0.618 0.680
Br3 0.812 0.730 0.186
Br4 0.119 0.387 0.187
Br5 0.494 0.875 0.680
Br6 0.077 0.201 0.681
Na1 0.985 0.492 0.464
Ca1 0.988 0.993 0.967
In1 0.604 0.802 0.391
In2 0.597 0.298 0.880

Values from the calculation:
- size of the total moment (μB per cell) = 0.000
- formation energy without anion corrections (kcal/mol of atoms) = -28.1
- mass density (g/cm3) = 3.7

Entry from Alexandria via LeMat-Bulk: a relaxed NaCaInBr4 crystal (PBE-GGA).

Cell: 10.273 8.730 8.783 Å, 120.20 90.00 126.04°
Element x y z (fractional)
Br1 0.238 0.477 0.271
Br2 0.238 0.477 0.705
Br3 0.321 0.021 0.760
Br4 0.679 0.979 0.240
Br5 0.699 0.021 0.760
Br6 0.762 0.523 0.729
Br7 0.762 0.523 0.295
Br8 0.301 0.979 0.240
Na1 0.000 0.500 0.500
Na2 0.500 0.500 0.500
In1 0.931 0.861 0.181
In2 0.069 0.139 0.819
Ca1 0.500 0.000 0.000
Ca2 0.500 0.000 0.500

Values from the calculation:
- size of the total moment (μB per cell) = 0.000
- formation energy without anion corrections (kcal/mol of atoms) = -34.3
- mass density (g/cm3) = 3.3

Entry from Alexandria via LeMat-Bulk: a relaxed NaCaIn2Br5 crystal (PBE-GGA).

Cell: 4.385 9.649 15.102 Å, 90.00 90.00 103.14°
Element x y z (fractional)
In1 0.131 0.262 0.293
In2 0.869 0.738 0.793
In3 0.086 0.173 0.658
In4 0.914 0.827 0.158
Br1 0.699 0.397 0.902
Br2 0.623 0.246 0.497
Br3 0.071 0.142 0.064
Br4 0.736 0.471 0.158
Br5 0.377 0.754 0.997
Br6 0.264 0.529 0.658
Br7 0.301 0.603 0.402
Br8 0.492 0.985 0.774
Br9 0.929 0.858 0.564
Br10 0.508 0.015 0.274
Na1 0.459 0.919 0.451
Na2 0.541 0.081 0.951
Ca1 0.224 0.448 0.026
Ca2 0.776 0.552 0.526

Values from the calculation:
- size of the total moment (μB per cell) = 0.000
- formation energy without anion corrections (kcal/mol of atoms) = -30.0
- mass density (g/cm3) = 3.7

Entry from Alexandria via LeMat-Bulk: a relaxed Na2CaInBr crystal (PBE-GGA).

Cell: 5.804 6.157 5.804 Å, 90.00 90.00 90.00°
Element x y z (fractional)
Na1 0.000 0.000 0.500
Na2 0.500 0.000 0.000
Ca1 0.500 0.500 0.500
In1 0.000 0.000 0.000
Br1 0.000 0.500 0.000

Values from the calculation:
- size of the total moment (μB per cell) = 0.000
- formation energy without anion corrections (kcal/mol of atoms) = -0.7
- mass density (g/cm3) = 2.2

Entry from Alexandria via LeMat-Bulk: a relaxed Na2CaIn3Br6 crystal (PBE-GGA).

Cell: 7.294 7.294 9.666 Å, 103.14 103.14 120.78°
Element x y z (fractional)
Br1 0.876 0.553 0.809
Br2 0.191 0.191 0.790
Br3 0.809 0.809 0.210
Br4 0.553 0.876 0.809
Br5 0.447 0.124 0.191
Br6 0.124 0.447 0.191
Ca1 0.000 0.000 0.000
In1 0.806 0.194 0.500
In2 0.194 0.806 0.500
In3 0.500 0.500 0.500
Na1 0.338 0.662 0.000
Na2 0.662 0.338 0.000

Values from the calculation:
- size of the total moment (μB per cell) = 0.000
- formation energy without anion corrections (kcal/mol of atoms) = -26.4
- mass density (g/cm3) = 3.9

Entry from Alexandria via LeMat-Bulk: a relaxed CaNb2InBr crystal (PBE-GGA).

Cell: 4.952 5.671 4.952 Å, 90.00 90.00 90.00°
Element x y z (fractional)
Ca1 0.000 0.000 0.000
In1 0.000 0.500 0.000
Br1 0.500 0.500 0.500
Nb1 0.500 0.000 0.000
Nb2 0.000 0.000 0.500

Values from the calculation:
- size of the total moment (μB per cell) = 0.001
- formation energy without anion corrections (kcal/mol of atoms) = 43.2
- mass density (g/cm3) = 5.0

Entry from Alexandria via LeMat-Bulk: a relaxed CaNpInBr6 crystal (PBE-GGA).

Cell: 7.553 7.553 14.225 Å, 90.00 90.00 120.00°
Site moments in Bohr magnetons follow the coordinates.
Element x y z (fractional)
In1 0.000 0.000 0.500  0.00
In2 0.000 0.000 0.000  0.00
Br1 0.998 0.364 0.135  -0.02
Br2 0.636 0.634 0.135  -0.02
Br3 0.364 0.366 0.865  -0.02
Br4 0.634 0.998 0.865  -0.02
Br5 0.364 0.998 0.635  -0.02
Br6 0.636 0.002 0.365  -0.02
Br7 0.634 0.636 0.635  -0.02
Br8 0.366 0.364 0.365  -0.02
Br9 0.002 0.636 0.865  -0.02
Br10 0.366 0.002 0.135  -0.02
Br11 0.002 0.366 0.635  -0.02
Br12 0.998 0.634 0.365  -0.02
Ca1 0.333 0.667 0.250  0.00
Ca2 0.667 0.333 0.750  0.00
Np1 0.667 0.333 0.250  3.99
Np2 0.333 0.667 0.750  3.99

Values from the calculation:
- size of the total moment (μB per cell) = 8.000
- formation energy without anion corrections (kcal/mol of atoms) = -32.6
- mass density (g/cm3) = 4.1

Entry from Alexandria via LeMat-Bulk: a relaxed CaPuInBr6 crystal (PBE-GGA).

Cell: 7.553 7.553 14.130 Å, 90.00 90.00 120.00°
Site moments in Bohr magnetons follow the coordinates.
Element x y z (fractional)
Br1 0.363 0.997 0.635  -0.02
Br2 0.997 0.363 0.135  -0.02
Br3 0.363 0.366 0.865  -0.02
Br4 0.997 0.634 0.365  -0.02
Br5 0.366 0.003 0.135  -0.02
Br6 0.003 0.366 0.635  -0.02
Br7 0.366 0.363 0.365  -0.02
Br8 0.637 0.003 0.365  -0.02
Br9 0.634 0.997 0.865  -0.02
Br10 0.003 0.637 0.865  -0.02
Br11 0.637 0.634 0.135  -0.02
Br12 0.634 0.637 0.635  -0.02
In1 0.000 0.000 0.500  -0.01
In2 0.000 0.000 0.000  -0.01
Ca1 0.333 0.667 0.250  0.00
Ca2 0.667 0.333 0.750  0.00
Pu1 0.333 0.667 0.750  5.07
Pu2 0.667 0.333 0.250  5.07

Values from the calculation:
- size of the total moment (μB per cell) = 10.000
- formation energy without anion corrections (kcal/mol of atoms) = -34.7
- mass density (g/cm3) = 4.2